[1]
Density functional theory data (meta-GGA SCAN) for Zr2PW at its PBEsol-relaxed geometry.

Cell lengths 3.843, 3.843, 5.439 Å; angles 110.69, 110.69, 90.00 degrees
Positions (direct):
P  0.500  0.500  0.000
W  0.250  0.750  0.500
Zr  0.000  0.000  0.000
Zr  0.750  0.250  0.500

Values from the calculation:
ΔH_f (0 K): -0.15 eV/atom
crystal system: tetragonal



[2]
Density functional theory data (meta-GGA SCAN) for NiPtBr2 at its PBEsol-relaxed geometry.

Cell lengths 3.166, 3.415, 7.777 Å; angles 90.00, 90.00, 117.62 degrees
Each line ends with the local moment (μB).
Positions (direct):
Br  0.000  0.000  0.725  -0.02
Br  0.000  0.000  0.275  -0.02
Ni  0.500  0.000  0.500  0.91
Pt  0.500  0.000  0.000  -0.29

Values from the calculation:
crystal system: orthorhombic
distance to the lowest polymorph of the same formula: 76 meV per atom



[3]
Density functional theory data (meta-GGA SCAN) for Li2ZnNi at its PBEsol-relaxed geometry.

Cell lengths 2.563, 3.718, 5.337 Å; angles 90.00, 90.00, 90.00 degrees
Positions (direct):
Ni  0.000  0.000  0.518
Zn  0.500  0.500  0.722
Li  0.000  0.000  0.992
Li  0.500  0.500  0.268

Values from the calculation:
ΔH_f (0 K): -0.10 eV/atom
crystal system: orthorhombic



[4]
Density functional theory data (meta-GGA SCAN) for CaScAl2 at its PBEsol-relaxed geometry.

Cell lengths 3.159, 4.160, 6.562 Å; angles 90.00, 90.00, 90.00 degrees
Positions (direct):
Sc  0.500  0.500  0.500
Ca  0.500  0.500  0.000
Al  0.000  0.000  0.711
Al  0.000  0.000  0.289

Values from the calculation:
ΔH_f (0 K): -0.33 eV/atom
crystal system: orthorhombic
distance to the lowest polymorph of the same formula: 0 meV per atom



[5]
Density functional theory data (meta-GGA SCAN) for NaCSe2 at its PBEsol-relaxed geometry.

Cell lengths 6.007, 6.007, 6.007 Å; angles 97.20, 115.93, 115.93 degrees
Each line ends with the local moment (μB).
Positions (direct):
Na  0.000  0.000  0.000  -0.01
Na  0.500  0.750  0.250  -0.01
C  0.000  0.500  0.500  -0.21
C  0.500  0.250  0.750  -0.21
Se  0.890  0.515  0.125  -0.14
Se  0.110  0.235  0.625  -0.14
Se  0.610  0.375  0.485  -0.14
Se  0.390  0.875  0.765  -0.14

Values from the calculation:
crystal system: tetragonal
uncorrected energy: -13.23 eV/atom



[6]
Density functional theory data (meta-GGA SCAN) for Ga3PbI at its PBEsol-relaxed geometry.

Cell lengths 5.638, 5.638, 5.638 Å; angles 90.00, 90.00, 90.00 degrees
Positions (direct):
Pb  0.500  0.500  0.500
I  0.000  0.000  0.000
Ga  0.000  0.500  0.000
Ga  0.000  0.000  0.500
Ga  0.500  0.000  0.000

Values from the calculation:
crystal system: cubic
uncorrected energy: -31.49 eV/atom



[7]
Density functional theory data (meta-GGA SCAN) for BeReAg2 at its PBEsol-relaxed geometry.

Cell lengths 2.608, 4.909, 4.900 Å; angles 110.37, 90.00, 105.41 degrees
Each line ends with the local moment (μB).
Positions (direct):
Re  0.223  0.447  0.674  0.16
Ag  0.006  0.013  0.027  0.00
Ag  0.780  0.559  0.222  0.00
Be  0.491  0.981  0.577  -0.01

Values from the calculation:
ΔH_f (0 K): 0.50 eV/atom
crystal system: monoclinic



[8]
Density functional theory data (meta-GGA SCAN) for HfSIO2 at its PBEsol-relaxed geometry.

Cell lengths 3.885, 3.885, 5.406 Å; angles 90.00, 90.00, 90.00 degrees
Positions (direct):
I  0.000  0.000  0.500
S  0.000  0.000  0.000
Hf  0.500  0.500  0.500
O  0.000  0.500  0.000
O  0.500  0.000  0.000

Values from the calculation:
crystal system: tetragonal
uncorrected energy: -23.82 eV/atom